Entry 1:
! La3BiRu, relaxed, DFT PBE; values from VASP
&SYSTEM
  ibrav = 0, nat = 10, ntyp = 3
/
ATOMIC_SPECIES
La 138.91 La.upf
Bi 208.98 Bi.upf
Ru 101.07 Ru.upf
CELL_PARAMETERS angstrom
3.3351 -7.0638 0.0000
3.3351 7.0638 0.0000
0.0000 0.0000 6.4476
ATOMIC_POSITIONS angstrom
La 0.0000 0.0000 0.0000
La 0.0000 0.0000 3.2238
La 1.6678 2.7132 1.6119
La 1.6678 -2.7132 4.8357
La 5.0023 2.7132 1.6119
La 5.0023 -2.7132 4.8357
Bi 3.3351 1.2475 4.8357
Bi 3.3351 -1.2475 1.6119
Ru 3.3351 4.6725 1.6119
Ru 3.3351 -4.6725 4.8357
! Magnetic moment: 0.00 μB/atom
! Formation energy: -0.23 eV/atom
! Offset from the most stable computed form: 355 meV/atom
! Raw total energy: -5.822 eV/atom



Entry 2:
! La3BiRu, relaxed, DFT PBE; values from VASP
&SYSTEM
  ibrav = 0, nat = 10, ntyp = 3
/
ATOMIC_SPECIES
La 138.91 La.upf
Bi 208.98 Bi.upf
Ru 101.07 Ru.upf
CELL_PARAMETERS angstrom
4.0626 0.0000 0.0000
0.0000 7.5359 0.0000
0.0000 0.0000 16.6317
ATOMIC_POSITIONS angstrom
La 0.0000 0.0000 0.0000
La 0.0000 3.7680 8.3159
La 2.0313 1.8736 13.5120
La 2.0313 1.8944 5.1962
La 2.0313 5.6415 5.1962
La 2.0313 5.6624 13.5120
Bi 2.0313 0.0000 2.4915
Bi 2.0313 3.7680 10.8073
Ru 0.0000 0.0000 14.1649
Ru 0.0000 3.7680 5.8491
! Magnetic moment: 0.00 μB/atom
! Formation energy: 0.04 eV/atom
! Offset from the most stable computed form: 627 meV/atom
! Raw total energy: -5.550 eV/atom



Entry 3:
! La3BiRu, relaxed, DFT PBE; values from VASP
&SYSTEM
  ibrav = 0, nat = 20, ntyp = 3
/
ATOMIC_SPECIES
La 138.91 La.upf
Bi 208.98 Bi.upf
Ru 101.07 Ru.upf
CELL_PARAMETERS angstrom
7.8410 0.0000 0.0000
0.0000 11.0851 0.0000
0.0000 0.0000 7.5184
ATOMIC_POSITIONS angstrom
La 0.0496 2.7713 0.4530
La 1.5107 0.3306 5.1993
La 1.5107 5.2119 5.1993
La 2.4097 5.8732 1.4401
La 2.4097 10.7545 1.4401
La 3.8709 8.3138 4.2122
La 3.9701 2.7713 3.3062
La 5.4312 0.3306 6.0783
La 5.4312 5.2119 6.0783
La 6.3302 5.8732 2.3191
La 6.3302 10.7545 2.3191
La 7.7914 8.3138 7.0654
Bi 0.4794 8.3138 3.5606
Bi 3.4411 2.7713 7.3198
Bi 4.3998 8.3138 0.1986
Bi 7.3616 2.7713 3.9578
Ru 0.0000 0.0000 0.0000
Ru 0.0000 5.5425 0.0000
Ru 3.9205 0.0000 3.7592
Ru 3.9205 5.5425 3.7592
! Magnetic moment: 0.00 μB/atom
! Formation energy: -0.56 eV/atom
! Offset from the most stable computed form: 24 meV/atom
! Raw total energy: -6.153 eV/atom



Q: Look up the offset from the most stable computed form of the second one.
A: 627 meV/atom



Repeat the third record exactly.
! La3BiRu, relaxed, DFT PBE; values from VASP
&SYSTEM
  ibrav = 0, nat = 20, ntyp = 3
/
ATOMIC_SPECIES
La 138.91 La.upf
Bi 208.98 Bi.upf
Ru 101.07 Ru.upf
CELL_PARAMETERS angstrom
7.8410 0.0000 0.0000
0.0000 11.0851 0.0000
0.0000 0.0000 7.5184
ATOMIC_POSITIONS angstrom
La 0.0496 2.7713 0.4530
La 1.5107 0.3306 5.1993
La 1.5107 5.2119 5.1993
La 2.4097 5.8732 1.4401
La 2.4097 10.7545 1.4401
La 3.8709 8.3138 4.2122
La 3.9701 2.7713 3.3062
La 5.4312 0.3306 6.0783
La 5.4312 5.2119 6.0783
La 6.3302 5.8732 2.3191
La 6.3302 10.7545 2.3191
La 7.7914 8.3138 7.0654
Bi 0.4794 8.3138 3.5606
Bi 3.4411 2.7713 7.3198
Bi 4.3998 8.3138 0.1986
Bi 7.3616 2.7713 3.9578
Ru 0.0000 0.0000 0.0000
Ru 0.0000 5.5425 0.0000
Ru 3.9205 0.0000 3.7592
Ru 3.9205 5.5425 3.7592
! Magnetic moment: 0.00 μB/atom
! Formation energy: -0.56 eV/atom
! Offset from the most stable computed form: 24 meV/atom
! Raw total energy: -6.153 eV/atom



Q: The highest raw total energy belongs to which entry?
A: number 2